[1]
Density functional theory data (PBE-GGA) for crystalline MgSi2SnW at its relaxed geometry.

POSCAR file:
```
MgSi2SnW
1.0
5.0941 0.0000 0.0000
0.0000 5.0941 0.0000
0.0000 0.0000 5.2252
Mg Si Sn W
1 2 1 1
Cartesian
0.0000 0.0000 0.0000
0.0000 2.5470 2.6126
2.5470 0.0000 2.6126
2.5470 2.5470 2.6126
2.5470 2.5470 0.0000
```

Summary:
Symmetry   P4/mmm, No. 123
Total magnetic moment   2.66 μB/cell
Final energy   -4.138 eV per atom

[2]
Density functional theory data (PBE-GGA) for crystalline AcNd2ZnN at its relaxed geometry.

POSCAR file:
```
AcNd2ZnN
1.0
5.0204 0.0000 0.0000
0.0000 5.0204 0.0000
0.0000 0.0000 5.2793
Ac Nd Zn N
1 2 1 1
Cartesian
0.0000 0.0000 0.0000
0.0000 2.5102 2.6397
2.5102 0.0000 2.6397
2.5102 2.5102 0.0000
0.0000 0.0000 2.6397
```

Summary:
Symmetry   P4/mmm, No. 123
Total magnetic moment   0.00 μB/cell
Final energy   -5.203 eV per atom

[3]
Density functional theory data (PBE-GGA) for crystalline Na2UInS6 at its relaxed geometry.

POSCAR file:
```
Na2UInS6
1.0
6.8685 0.0000 0.0000
0.0000 7.2331 0.0000
-6.3960 0.0000 9.4132
Na U In S
4 2 2 12
Cartesian
-0.0836 0.5880 2.2601
-3.2816 3.0286 6.9667
3.7542 4.2046 2.4465
0.5562 6.6451 7.1531
3.4343 0.0000 0.0000
0.2363 3.6166 4.7066
-3.1980 0.0000 4.7066
0.0000 3.6166 0.0000
-5.0041 1.4142 8.8238
-1.8061 2.2023 4.1172
-4.2537 5.1253 8.7693
-1.0557 5.7244 4.0627
-2.1399 0.2739 7.0335
1.0581 3.3426 2.3269
-0.5855 3.8905 7.0863
2.6124 6.9592 2.3797
1.5283 1.5087 5.3505
4.7263 2.1078 0.6439
2.2787 5.0308 5.2960
5.4767 5.8189 0.5894
```

Summary:
Symmetry   P2_1/c, No. 14
Total magnetic moment   0.00 μB/cell
Final energy   -4.968 eV per atom

[4]
Density functional theory data (PBE-GGA) for crystalline Nd3HgIr at its relaxed geometry.

POSCAR file:
```
Nd3HgIr
1.0
7.4903 0.0000 0.0000
0.0000 4.9329 0.0000
0.0000 0.0000 15.5289
Nd Hg Ir
12 4 4
Cartesian
0.0890 1.2332 1.5443
0.9849 3.6997 7.0461
1.3947 1.2332 11.1878
2.3505 3.6997 3.4233
2.7602 1.2332 14.8105
3.6561 3.6997 9.3087
3.8341 1.2332 6.2202
4.7300 3.6997 0.7184
5.1398 1.2332 12.1055
6.0956 3.6997 4.3411
6.5054 1.2332 8.4828
7.4012 3.6997 13.9846
0.7326 1.2332 4.8726
3.0125 3.6997 12.6370
4.4777 1.2332 2.8918
6.7577 3.6997 10.6563
1.7195 3.6997 0.6801
2.0256 1.2332 8.4445
5.4647 3.6997 7.0843
5.7707 1.2332 14.8488
```

Summary:
Energy relative to the elements   -518.3 meV/atom
Symmetry   Pnma, No. 62
Total magnetic moment   0.00 μB/cell
Final energy   -5.212 eV per atom

[5]
Density functional theory data (PBE-GGA) for crystalline Li2BePt at its relaxed geometry.

POSCAR file:
```
Li2BePt
1.0
2.7886 0.0000 0.0000
0.0000 4.4840 0.0000
0.0000 0.0000 8.6992
Li Be Pt
4 2 2
Cartesian
0.0000 0.0000 2.1787
0.0000 0.0000 6.5205
1.3943 2.2420 2.1787
1.3943 2.2420 6.5205
0.0000 2.2420 0.0000
1.3943 0.0000 0.0000
0.0000 2.2420 4.3496
1.3943 0.0000 4.3496
```

Summary:
Energy relative to the elements   -76.0 meV/atom
Symmetry   Cmmm, No. 65
Total magnetic moment   0.00 μB/cell
Final energy   -3.475 eV per atom

[6]
Density functional theory data (PBE-GGA) for crystalline AcCd3Rh at its relaxed geometry.

POSCAR file:
```
AcCd3Rh
1.0
5.1722 0.0000 0.0000
0.0000 5.1722 0.0000
0.0000 0.0000 5.1722
Ac Cd Rh
1 3 1
Cartesian
0.0000 0.0000 0.0000
0.0000 2.5861 2.5861
2.5861 0.0000 2.5861
2.5861 2.5861 0.0000
2.5861 2.5861 2.5861
```

Summary:
Energy relative to the elements   -127.5 meV/atom
Symmetry   Pm-3m, No. 221
Total magnetic moment   0.01 μB/cell
Final energy   -2.969 eV per atom

[7]
Density functional theory data (PBE-GGA) for crystalline Li2Tl2Bi at its relaxed geometry.

POSCAR file:
```
Li2Tl2Bi
1.0
5.0903 0.0000 0.0000
0.0000 4.9253 0.0000
-0.0558 0.0000 10.2880
Li Tl Bi
4 4 2
Cartesian
1.2160 1.2313 1.8374
1.2361 1.2313 5.1385
3.7985 3.6939 5.1494
3.8185 3.6939 8.4505
1.2943 3.6939 0.1354
1.2653 3.6939 7.0354
3.7693 1.2313 3.2526
3.7403 1.2313 10.1526
1.2478 3.6939 3.4562
3.7868 1.2313 6.8317
```

Summary:
Energy relative to the elements   -211.6 meV/atom
Symmetry   P2_1/m, No. 11
Total magnetic moment   0.00 μB/cell
Final energy   -2.700 eV per atom

[8]
Density functional theory data (PBE-GGA) for crystalline NaLiLa2Ru at its relaxed geometry.

POSCAR file:
```
NaLiLa2Ru
1.0
5.3293 0.0000 0.0000
0.0000 5.3293 0.0000
0.0000 0.0000 5.9105
Na Li La Ru
1 1 2 1
Cartesian
0.0000 0.0000 0.0000
2.6647 2.6647 0.0000
0.0000 2.6647 2.9553
2.6647 0.0000 2.9553
0.0000 0.0000 2.9553
```

Summary:
Energy relative to the elements   68.1 meV/atom
Symmetry   P4/mmm, No. 123
Total magnetic moment   0.00 μB/cell
Final energy   -4.405 eV per atom